No. 1
Entry from Alexandria via LeMat-Bulk: crystalline CsIn2Hg2 at its relaxed geometry (GGA-PBEsol).

Values from the calculation:
DFT total energy = -1.774 eV/atom
Total magnetic moment = 0.00 Bohr magnetons per cell
Energy relative to the elements = -166 meV/atom
SG = I4/mmm

Structure (extended XYZ):
```
5
Lattice="-2.4387 2.4387 6.3960 2.4387 -2.4387 6.3960 2.4387 2.4387 -6.3960" Properties=species:S:1:pos:R:3 pbc="T T T"
Cs 0.0000 0.0000 0.0000
In 2.4387 0.0000 3.1980
In 0.0000 2.4387 3.1980
Hg 0.0000 0.0000 4.9028
Hg 0.0000 0.0000 7.8891
```

No. 2
Entry from Alexandria via LeMat-Bulk: crystalline Li2CaN2 at its relaxed geometry (GGA-PBEsol).

Values from the calculation:
DFT total energy = -4.844 eV/atom
Total magnetic moment = 2.01 Bohr magnetons per cell
SG = P-3m1

Structure (extended XYZ):
```
5
Lattice="3.4262 0.0000 0.0000 -1.7131 2.9672 0.0000 0.0000 0.0000 5.7338" Properties=species:S:1:pos:R:3 pbc="T T T"
Li 0.0000 1.9781 0.6662
Li 1.7131 0.9891 5.0676
Ca 0.0000 0.0000 2.8669
N 0.0000 1.9781 4.3258
N 1.7131 0.9891 1.4080
```

No. 3
Entry from Alexandria via LeMat-Bulk: crystalline AgSnMoRh2 at its relaxed geometry (GGA-PBEsol).

Values from the calculation:
DFT total energy = -5.514 eV/atom
Total magnetic moment = 3.97 Bohr magnetons per cell
Energy relative to the elements = 1609 meV/atom
SG = P4/mmm

Structure (extended XYZ):
```
5
Lattice="4.7509 0.0000 0.0000 0.0000 4.7509 0.0000 0.0000 0.0000 4.8459" Properties=species:S:1:pos:R:3 pbc="T T T"
Ag 0.0000 0.0000 0.0000
Sn 0.0000 0.0000 2.4230
Mo 2.3755 2.3755 0.0000
Rh 0.0000 2.3755 2.4230
Rh 2.3755 0.0000 2.4230
```

No. 4
Entry from Alexandria via LeMat-Bulk: crystalline ThGa3 at its relaxed geometry (GGA-PBEsol).

Values from the calculation:
DFT total energy = -5.091 eV/atom
Total magnetic moment = 0.00 Bohr magnetons per cell
Energy relative to the elements = -559 meV/atom
SG = P6_3/mmc

Structure (extended XYZ):
```
8
Lattice="6.4167 0.0000 0.0000 -3.2083 5.5570 0.0000 0.0000 0.0000 4.4842" Properties=species:S:1:pos:R:3 pbc="T T T"
Th 0.0000 3.7047 1.1210
Th 3.2083 1.8523 3.3631
Ga 0.0000 1.5832 3.3631
Ga -1.8372 4.7654 3.3631
Ga 1.3711 0.7916 1.1210
Ga 1.8372 4.7654 3.3631
Ga 5.0455 0.7916 1.1210
Ga 3.2083 3.9738 1.1210
```

No. 5
Entry from Alexandria via LeMat-Bulk: crystalline NiOsRh2 at its relaxed geometry (GGA-PBEsol).

Values from the calculation:
DFT total energy = -8.275 eV/atom
Total magnetic moment = 0.00 Bohr magnetons per cell
Energy relative to the elements = 388 meV/atom
Energy above the lowest structure with this stoichiometry = 0.3630 eV per atom
SG = F-43m

Structure (extended XYZ):
```
4
Lattice="0.0000 2.9710 2.9710 2.9710 0.0000 2.9710 2.9710 2.9710 0.0000" Properties=species:S:1:pos:R:3 pbc="T T T"
Ni 0.0000 0.0000 0.0000
Os 1.4855 1.4855 1.4855
Rh 2.9710 2.9710 2.9710
Rh 4.4565 4.4565 4.4565
```

No. 6
Entry from Alexandria via LeMat-Bulk: crystalline Zn24Au5 at its relaxed geometry (GGA-PBEsol).

Values from the calculation:
DFT total energy = -2.003 eV/atom
Total magnetic moment = 0.00 Bohr magnetons per cell
Energy relative to the elements = -18 meV/atom
SG = I-43m

Structure (extended XYZ):
```
29
Lattice="-4.7228 4.7228 4.7228 4.7228 -4.7228 4.7228 4.7228 4.7228 -4.7228" Properties=species:S:1:pos:R:3 pbc="T T T"
Zn 2.6906 0.9014 -0.9014
Zn 2.6906 -0.9014 0.9014
Zn 5.1710 1.2596 -1.2596
Zn 5.1710 -1.2596 1.2596
Zn 0.9014 2.6906 -0.9014
Zn 0.9014 -0.9014 2.6906
Zn 6.7551 0.9014 0.9014
Zn 4.2746 1.2596 1.2596
Zn 3.4632 3.4632 -0.4482
Zn 3.4632 -0.4482 3.4632
Zn -0.9014 2.6906 0.9014
Zn -0.9014 0.9014 2.6906
Zn 1.2596 5.1710 -1.2596
Zn 1.2596 -1.2596 5.1710
Zn 1.2596 4.2746 1.2596
Zn 1.2596 1.2596 4.2746
Zn 3.8215 3.8215 2.0322
Zn 3.8215 2.0322 3.8215
Zn -1.2596 5.1710 1.2596
Zn -1.2596 1.2596 5.1710
Zn -0.4482 3.4632 3.4632
Zn 2.0322 3.8215 3.8215
Zn 0.9014 6.7551 0.9014
Zn 0.9014 0.9014 6.7551
Au 0.0000 0.0000 0.0000
Au 3.0421 3.0421 -3.0421
Au 3.0421 -3.0421 3.0421
Au 1.6808 1.6808 1.6808
Au -3.0421 3.0421 3.0421
```